Record 1
Ba2Be2CrO6: relaxed, PBE with a Hubbard U.

Calculated values
* SG: No. 166

Cell lengths 5.4583, 5.4583, 6.2785 Å; angles 64.23, 64.23, 60.00 degrees
Last column: nearest neighbours and their distance in Å.
Positions (direct):
O 0.2422 0.7336 0.7820  1 Be 1.55
O 0.7578 0.2664 0.2180  1 Be 1.55
O 0.7336 0.2422 0.7820  1 Be 1.55
O 0.2422 0.2422 0.7820  1 Be 1.55
O 0.7578 0.7578 0.2180  1 Be 1.55
Ba 0.7759 0.7759 0.6724  9 O 2.79-2.94, 1 Be 2.99
O 0.2664 0.7578 0.2180  1 Be 1.55
Be 0.4076 0.4076 0.7773  3 O 1.55
Ba 0.2241 0.2241 0.3276  9 O 2.79-2.94, 1 Be 2.99
Cr 0.0000 0.0000 0.0000  6 O 1.99
Be 0.5924 0.5924 0.2227  3 O 1.55

Record 2
TeMo3O: relaxed, PBE with a Hubbard U.

Calculated values
* SG: No. 221

Cell lengths 4.2984, 4.2984, 4.2984 Å; angles 90.00, 90.00, 90.00 degrees
Last column: nearest neighbours and their distance in Å.
Positions (direct):
O 0.0000 0.0000 0.0000  6 Mo 2.15
Te 0.5000 0.5000 0.5000  12 Mo 3.04
Mo 0.5000 0.0000 0.0000  2 O 2.15
Mo 0.0000 0.0000 0.5000  2 O 2.15
Mo 0.0000 0.5000 0.0000  2 O 2.15

Number 1: electronic total energy -6.782 eV per atom. Number 2: electronic total energy -5.180 eV per atom.